Record 1
A plane-wave DFT calculation with PBE was carried out for crystalline SrYBeHg2 at its relaxed geometry.

Energy of formation, meV per atom: 193
DFT total energy, eV per atom: -2.30
Space-group type: P4/mmm (123)

Cell lengths 4.8482, 4.8482, 5.3625 Å; angles 90.00, 90.00, 90.00 degrees
With the nearest neighbours (Å) after each atom.
Atoms (fractional coordinates):
1 Sr 0.0000 0.0000 0.0000  2 Be 2.68
2 Y 0.5000 0.5000 0.0000  4 Sr 3.43, 8 Hg 3.61
3 Be 0.0000 0.0000 0.5000  4 Hg 2.42, 2 Sr 2.68
4 Hg 0.0000 0.5000 0.5000  2 Be 2.42
5 Hg 0.5000 0.0000 0.5000  2 Be 2.42


Record 2
A plane-wave DFT calculation with PBE was carried out for crystalline CeNpRhO6 at its relaxed geometry.

E_form (uncorrected), eV/f.u.: -22.08
DFT total energy, eV per atom: -8.67
Space-group type: P-31c (163)

Cell lengths 5.3083, 5.3083, 10.3960 Å; angles 90.00, 90.00, 120.00 degrees
With the nearest neighbours (Å) after each atom.
Atoms (fractional coordinates):
1 Ce 0.0000 0.0000 0.0000  6 O 2.32
2 Ce 0.0000 0.0000 0.5000  6 O 2.32
3 Np 0.3333 0.6667 0.2500  6 O 2.13
4 Np 0.6667 0.3333 0.7500  6 O 2.13
5 Rh 0.3333 0.6667 0.7500  6 O 2.07
6 Rh 0.6667 0.3333 0.2500  6 O 2.07
7 O 0.0094 0.3504 0.6371  1 Rh 2.07, 1 Np 2.13
8 O 0.0094 0.6591 0.8629  1 Rh 2.07, 1 Np 2.13
9 O 0.3409 0.3504 0.8629  1 Rh 2.07, 1 Np 2.13
10 O 0.3409 0.9906 0.6371  1 Rh 2.07, 1 Np 2.13
11 O 0.3504 0.0094 0.1371  1 Rh 2.07, 1 Np 2.13
12 O 0.3504 0.3409 0.3629  1 Rh 2.07, 1 Np 2.13
13 O 0.6496 0.6591 0.6371  1 Rh 2.07, 1 Np 2.13
14 O 0.6496 0.9906 0.8629  1 Rh 2.07, 1 Np 2.13
15 O 0.6591 0.0094 0.3629  1 Rh 2.07, 1 Np 2.13
16 O 0.6591 0.6496 0.1371  1 Rh 2.07, 1 Np 2.13
17 O 0.9906 0.3409 0.1371  1 Rh 2.07, 1 Np 2.13
18 O 0.9906 0.6496 0.3629  1 Rh 2.07, 1 Np 2.13


Record 3
A plane-wave DFT calculation with PBE was carried out for crystalline ZrOs2Ru at its relaxed geometry.

ΔE to the lowest computed polymorph, eV per formula unit: 0.27
Energy of formation, meV per atom: 10
DFT total energy, eV per atom: -10.06
Space-group type: I4/mmm (139)

Cell lengths 4.9597, 4.9597, 4.9597 Å; angles 133.31, 133.31, 68.16 degrees
With the nearest neighbours (Å) after each atom.
Atoms (fractional coordinates):
1 Zr 0.0000 0.0000 0.0000  4 Ru 2.78, 8 Os 2.84
2 Os 0.2500 0.7500 0.5000  4 Os 2.78, 4 Zr 2.84, 4 Ru 2.84
3 Os 0.7500 0.2500 0.5000  4 Os 2.78, 4 Zr 2.84, 4 Ru 2.84
4 Ru 0.5000 0.5000 0.0000  4 Zr 2.78, 8 Os 2.84


Record 4
A plane-wave DFT calculation with PBE was carried out for crystalline K2MgZn4P4H2O16 at its relaxed geometry.

DFT total energy, eV per atom: -5.88
Space-group type: P-1 (2)

Cell lengths 5.0790, 8.7211, 10.0050 Å; angles 95.51, 93.63, 102.46 degrees
With the nearest neighbours (Å) after each atom.
Atoms (fractional coordinates):
1 K 0.1514 0.3071 0.3331  5 O 2.72-2.95
2 K 0.8486 0.6929 0.6669  5 O 2.72-2.95
3 Mg 0.0000 0.5000 0.0000  2 O 2.00
4 Zn 0.2084 0.3686 0.7408  3 O 1.98-2.20
5 Zn 0.2261 0.8951 0.1354  4 O 1.92-2.01
6 Zn 0.7739 0.1049 0.8646  4 O 1.92-2.01
7 Zn 0.7916 0.6314 0.2592  3 O 1.98-2.20
8 P 0.3579 0.2419 0.0107  4 O 1.54-1.59
9 P 0.3630 0.7678 0.4162  4 O 1.53-1.60
10 P 0.6370 0.2322 0.5838  4 O 1.53-1.60
11 P 0.6421 0.7581 0.9893  4 O 1.54-1.59
12 H 0.4530 0.9306 0.6089  1 O 1.02
13 H 0.5470 0.0694 0.3911  1 O 1.02
14 O 0.1340 0.6225 0.3732  1 P 1.53
15 O 0.1794 0.1781 0.8725  1 P 1.59
16 O 0.2705 0.3876 0.0759  1 P 1.54
17 O 0.3216 0.1152 0.1092  1 P 1.54
18 O 0.3279 0.8257 0.5698  1 H 1.02
19 O 0.3377 0.7190 0.0250  1 P 1.58
20 O 0.3459 0.9072 0.3318  1 P 1.56, 1 H 1.59
21 O 0.3585 0.2743 0.5836  1 P 1.54
22 O 0.6415 0.7257 0.4164  1 P 1.54
23 O 0.6541 0.0928 0.6682  1 P 1.56, 1 H 1.59
24 O 0.6623 0.2810 0.9750  1 P 1.58
25 O 0.6721 0.1743 0.4302  1 H 1.02
26 O 0.6784 0.8848 0.8908  1 P 1.54
27 O 0.7295 0.6124 0.9241  1 P 1.54
28 O 0.8206 0.8219 0.1275  1 P 1.59
29 O 0.8660 0.3775 0.6268  1 P 1.53